A relaxed structure of Mo2ClF, computed with GGA+U.

a b c (Å): 4.872 4.872 4.872
angles (deg): 60.00 60.00 60.00
Fractional coordinates of all 4 atoms:
Mo 0.250 0.250 0.250
Mo 0.750 0.750 0.750
Cl 0.000 0.000 0.000
F 0.500 0.500 0.500

## Properties
Uncorrected energy ... -0.31756 Ry/atom
Magnetic moment ... 10.0 μB per formula unit
DOS at the Fermi energy ... 1.323 states/eV/cell